[1]
# CeSm3Dy2S6

A relaxed CeSm3Dy2S6 crystal (GGA-PBE, the Alexandria database).

Lattice parameters (Å, degrees): 6.889 6.889 6.893 99.62 99.62 120.13
Each line ends with the local moment (μB).
Sites, in units of the cell vectors:
Ce  0.000  0.000  0.000  0.47
Sm  0.166  0.834  0.500  0.00
Sm  0.834  0.166  0.500  0.00
Sm  0.500  0.500  0.500  0.01
Dy  0.333  0.667  0.000  0.01
Dy  0.667  0.333  0.000  0.01
S  0.919  0.580  0.756  0.00
S  0.742  0.742  0.243  0.00
S  0.081  0.420  0.244  0.00
S  0.580  0.919  0.756  0.00
S  0.258  0.258  0.757  0.00
S  0.420  0.081  0.244  0.00

***

[2]
# Ce2SmDyS5

A relaxed Ce2SmDyS5 crystal (GGA-PBE, the Alexandria database).

Lattice parameters (Å, degrees): 4.908 4.908 10.453 90.00 90.00 90.00
Each line ends with the local moment (μB).
Sites, in units of the cell vectors:
Ce  0.500  0.500  0.305  1.33
Ce  0.500  0.500  0.695  1.33
Sm  0.000  0.000  0.000  0.05
Dy  0.000  0.000  0.500  0.10
S  0.000  0.500  0.500  -0.02
S  0.500  0.000  0.500  -0.02
S  0.000  0.000  0.752  -0.01
S  0.000  0.000  0.248  -0.01
S  0.500  0.500  0.000  -0.01

***

Computed formation energy from raw total energies (eV/atom) in order:
-2.0221, -1.4814